[1]
First-principles (GGA-PBE) data for crystalline AcPdBr at its relaxed geometry, as listed in the Alexandria database.

Calculated values
ρ: 6.508 g/cm³
crystal system: trigonal
V: 35.15 A^3/atom
ΔE_f (raw): -2.8 eV/f.u.
energy relative to the lowest polymorph listed for this composition: 406 meV/atom
uncorrected energy: -4.586 eV per atom

Geometry as POSCAR:
```
AcPdBr
1.0
4.423 0.000 0.000
-2.211 3.830 0.000
0.000 0.000 6.225
Ac Pd Br
1 1 1
direct
0.000 0.000 0.000
0.333 0.667 0.246
0.667 0.333 0.672
```

---

[2]
First-principles (GGA-PBE) data for crystalline BeVH2 at its relaxed geometry, as listed in the Alexandria database.

Calculated values
ρ: 3.805 g/cm³
crystal system: trigonal
DOS at the Fermi energy: 0.526 states/eV per atom
V: 6.76 A^3/atom
energy relative to the lowest polymorph listed for this composition: 50 meV/atom
uncorrected energy: -4.840 eV per atom

Geometry as POSCAR:
```
BeVH2
1.0
1.365 0.788 4.188
-1.365 0.788 4.188
0.000 -1.577 4.188
Be V H
1 1 2
direct
0.000 0.000 0.000
0.500 0.500 0.500
0.243 0.243 0.243
0.757 0.757 0.757
```

---

[3]
First-principles (GGA-PBE) data for crystalline TlTcBr2 at its relaxed geometry, as listed in the Alexandria database.

Calculated values
ρ: 7.313 g/cm³
crystal system: cubic
DOS at the Fermi energy: 1.198 states/eV per atom
V: 26.24 A^3/atom
ΔE_f (raw): 2.9 eV/f.u.
energy relative to the lowest polymorph listed for this composition: 681 meV/atom
uncorrected energy: -3.306 eV per atom

Geometry as POSCAR:
```
TlTcBr2
1.0
0.000 3.744 3.744
3.744 0.000 3.744
3.744 3.744 0.000
Tl Tc Br
1 1 2
direct
0.000 0.000 0.000
0.750 0.750 0.750
0.250 0.250 0.250
0.500 0.500 0.500
```

---

[4]
First-principles (GGA-PBE) data for crystalline Sr3CdBi at its relaxed geometry, as listed in the Alexandria database.

Calculated values
ρ: 4.514 g/cm³
crystal system: monoclinic
E_form: -37.98 kJ/mol of atoms
DOS at the Fermi energy: 0.888 states/eV per atom
V: 42.98 A^3/atom
energy relative to the lowest polymorph listed for this composition: 0 meV/atom
uncorrected energy: -2.362 eV per atom

Geometry as POSCAR:
```
Sr3CdBi
1.0
5.334 -8.670 0.000
5.334 8.670 0.000
0.000 0.000 4.647
Sr Cd Bi
6 2 2
direct
0.000 0.000 0.000
0.065 0.562 0.500
0.287 0.340 0.500
0.438 0.935 0.500
0.660 0.713 0.500
0.725 0.275 0.000
0.363 0.138 0.001
0.862 0.637 0.999
0.362 0.638 0.000
0.863 0.137 0.500
```

---

[5]
First-principles (GGA-PBE) data for crystalline MgIn6Sn5 at its relaxed geometry, as listed in the Alexandria database.

Calculated values
ρ: 6.755 g/cm³
crystal system: monoclinic
E_form: 1.65 kJ/mol of atoms
DOS at the Fermi energy: 0.470 states/eV per atom
V: 26.77 A^3/atom
uncorrected energy: -3.153 eV per atom

Geometry as POSCAR:
```
MgIn6Sn5
1.0
4.310 0.000 0.000
0.000 9.974 0.000
-2.145 0.000 7.472
Mg In Sn
1 6 5
direct
0.000 0.000 0.000
0.167 0.246 0.331
0.167 0.754 0.331
0.500 0.242 0.000
0.500 0.758 0.000
0.833 0.246 0.669
0.833 0.754 0.669
0.000 0.500 0.000
0.333 0.500 0.670
0.335 0.000 0.672
0.665 0.000 0.328
0.667 0.500 0.330
```

---

[6]
First-principles (GGA-PBE) data for crystalline RbUTe2Pd at its relaxed geometry, as listed in the Alexandria database.

Calculated values
ρ: 6.496 g/cm³
crystal system: monoclinic
DOS at the Fermi energy: 1.060 states/eV per atom
V: 35.03 A^3/atom
ΔE_f (raw): -3.0 eV/f.u.
uncorrected energy: -5.353 eV per atom

Geometry as POSCAR:
```
RbUTe2Pd
1.0
9.524 0.000 0.000
0.000 4.770 0.000
-1.222 0.000 7.710
Rb U Te Pd
2 2 4 2
direct
0.000 0.217 0.250
0.000 0.783 0.750
0.500 0.496 0.750
0.500 0.504 0.250
0.262 0.287 0.957
0.262 0.713 0.457
0.738 0.287 0.543
0.738 0.713 0.043
0.500 0.000 0.000
0.500 0.000 0.500
```